Material: Na5W14O42
Method: DFT, meta-GGA SCAN
State: single point on PBEsol structure

Summary:
**Calculated total energy**: -22.889 eV/atom
**V**: 12.9 Å³/atom
**E_form (uncorrected)**: -2259 meV per atom

POSCAR file:
```
Na5W14O42
1.0
-2.7089 3.8326 18.9678
2.7089 -3.8326 18.9678
2.7089 3.8326 -18.9678
Na W O
5 14 42
direct
0.0000 0.0000 0.0000
0.2145 0.7145 0.5000
0.4282 0.4282 0.0000
0.5718 0.5718 0.0000
0.7855 0.2855 0.5000
0.0374 0.7861 0.2513
0.1069 0.3570 0.7500
0.1765 0.9278 0.2487
0.2502 0.5000 0.7502
0.3210 0.0722 0.2487
0.3930 0.6430 0.7500
0.4651 0.2139 0.2513
0.5349 0.7861 0.7487
0.6070 0.3570 0.2500
0.6790 0.9278 0.7513
0.7498 0.5000 0.2498
0.8235 0.0722 0.7513
0.8931 0.6430 0.2500
0.9626 0.2139 0.7487
0.0000 0.0000 0.5000
0.0000 0.5000 0.0000
0.0000 0.5000 0.5000
0.0689 0.0731 0.4999
0.0689 0.5690 0.9958
0.0708 0.0708 0.0000
0.1436 0.6436 0.5000
0.1452 0.1455 0.5043
0.1452 0.6409 0.9997
0.2143 0.2143 0.0000
0.2142 0.2143 0.4999
0.2142 0.7143 0.9998
0.2851 0.7851 0.5000
0.2856 0.2857 0.4999
0.2856 0.7857 0.9998
0.3578 0.3578 0.0000
0.3588 0.3591 0.5043
0.3588 0.8545 0.9997
0.4268 0.4310 0.4999
0.4268 0.9269 0.9958
0.4285 0.9285 0.5000
0.5000 0.0000 0.0000
0.5000 0.5000 0.0000
0.5000 0.5000 0.5000
0.5715 0.0715 0.5000
0.5732 0.0731 0.0042
0.5732 0.5690 0.5001
0.6412 0.1455 0.0003
0.6412 0.6409 0.4957
0.6422 0.6422 0.0000
0.7144 0.2143 0.0002
0.7144 0.7143 0.5001
0.7149 0.2149 0.5000
0.7858 0.2857 0.0002
0.7857 0.7857 0.0000
0.7858 0.7857 0.5001
0.8548 0.3591 0.0003
0.8548 0.8545 0.4957
0.8564 0.3564 0.5000
0.9292 0.9292 0.0000
0.9311 0.4310 0.0042
0.9311 0.9269 0.5001
```

=====

Material: Na4W9O27
Method: DFT, meta-GGA SCAN
State: single point on PBEsol structure

Summary:
**Calculated total energy**: -22.571 eV/atom
**V**: 12.7 Å³/atom
**E_form (uncorrected)**: -2264 meV per atom

POSCAR file:
```
Na4W9O27
1.0
9.0004 -2.7134 0.0000
9.0004 2.7134 0.0000
-4.9116 0.0000 10.4175
Na W O
4 9 27
direct
0.0000 0.0000 0.1680
0.0000 0.0000 0.8320
0.3330 0.3330 0.3887
0.6670 0.6670 0.6113
0.1664 0.1664 0.4443
0.1675 0.1675 0.1106
0.1683 0.1683 0.7800
0.4991 0.4991 0.3328
0.5000 0.5000 0.0000
0.5009 0.5009 0.6672
0.8317 0.8317 0.2200
0.8325 0.8325 0.8894
0.8336 0.8336 0.5557
0.0000 0.5000 0.5000
0.0027 0.4982 0.1684
0.1638 0.6728 0.9455
0.1653 0.1653 0.9435
0.1665 0.6662 0.2776
0.1667 0.1667 0.2779
0.1669 0.1669 0.6111
0.1669 0.6670 0.6113
0.3272 0.8362 0.0545
0.3330 0.8331 0.3887
0.3338 0.8335 0.7224
0.4982 0.0027 0.1684
0.5000 0.0000 0.5000
0.4998 0.4998 0.1667
0.5000 0.5000 0.5000
0.5002 0.5002 0.8333
0.5018 0.9973 0.8316
0.6662 0.1665 0.2776
0.6670 0.1669 0.6113
0.6728 0.1638 0.9455
0.8331 0.3330 0.3887
0.8331 0.8331 0.3889
0.8333 0.8333 0.7221
0.8335 0.3338 0.7224
0.8347 0.8347 0.0565
0.8362 0.3272 0.0545
0.9973 0.5018 0.8316
```

=====

Material: NaWO3
Method: DFT, meta-GGA SCAN
State: single point on PBEsol structure

Summary:
**Calculated total energy**: -20.751 eV/atom
**V**: 11.7 Å³/atom
**E_form (uncorrected)**: -2231 meV per atom

POSCAR file:
```
NaWO3
1.0
3.8819 0.0000 0.0000
0.0000 3.8819 0.0000
0.0000 0.0000 3.8819
Na W O
1 1 3
direct
0.0000 0.0000 0.0000
0.5000 0.5000 0.5000
0.0000 0.5000 0.5000
0.5000 0.0000 0.5000
0.5000 0.5000 0.0000
```

=====

Material: Na3W4O12
Method: DFT, meta-GGA SCAN
State: single point on PBEsol structure

Summary:
**Calculated total energy**: -21.532 eV/atom
**V**: 12.0 Å³/atom
**E_form (uncorrected)**: -2260 meV per atom

POSCAR file:
```
Na3W4O12
1.0
5.4519 -3.8481 0.0000
5.4519 3.8481 0.0000
-0.0198 0.0000 10.9004
Na W O
6 8 24
direct
0.0000 0.0000 0.0000
0.9999 0.9999 0.4910
0.2528 0.2528 0.2423
0.2534 0.2534 0.7505
0.5040 0.5040 0.4925
0.7514 0.7514 0.7503
0.0007 0.5030 0.4945
0.0005 0.5035 0.9983
0.2532 0.7509 0.2440
0.2528 0.7512 0.7483
0.5030 0.0007 0.4945
0.5035 0.0005 0.9983
0.7509 0.2532 0.2440
0.7512 0.2528 0.7483
0.0178 0.0178 0.7497
0.1004 0.6398 0.6281
0.1190 0.6464 0.8768
0.1378 0.6046 0.1272
0.1466 0.6225 0.3791
0.2469 0.2469 0.9828
0.2554 0.2554 0.5120
0.3575 0.8847 0.1151
0.3616 0.9028 0.3664
0.3814 0.8575 0.6141
0.4003 0.8687 0.8635
0.4864 0.4864 0.7418
0.5130 0.5130 0.2512
0.6046 0.1378 0.1272
0.6225 0.1466 0.3791
0.6398 0.1004 0.6281
0.6464 0.1190 0.8768
0.7486 0.7486 0.4831
0.7568 0.7568 0.0078
0.8575 0.3814 0.6141
0.8687 0.4003 0.8635
0.8847 0.3575 0.1151
0.9028 0.3616 0.3664
0.9910 0.9910 0.2425
```

=====

Material: Na4WO5
Method: DFT, meta-GGA SCAN
State: single point on PBEsol structure

Summary:
**Calculated total energy**: -13.930 eV/atom
**V**: 12.0 Å³/atom
**E_form (uncorrected)**: -2159 meV per atom

POSCAR file:
```
Na4WO5
1.0
5.6551 0.0000 0.0000
-1.1988 5.5531 0.0000
-2.7824 -2.3005 7.6406
Na W O
8 2 10
direct
0.0000 0.0000 0.0000
0.0000 0.5000 0.5000
0.1945 0.4871 0.9040
0.1976 0.0025 0.3978
0.3792 0.4922 0.2928
0.6208 0.5078 0.7072
0.8024 0.9975 0.6022
0.8055 0.5129 0.0960
0.3982 0.9963 0.7936
0.6018 0.0037 0.2064
0.0640 0.7788 0.7586
0.2404 0.2104 0.6851
0.2598 0.7866 0.1561
0.4082 0.7786 0.5995
0.4229 0.1912 0.0366
0.5771 0.8088 0.9634
0.5918 0.2214 0.4005
0.7402 0.2134 0.8439
0.7596 0.7896 0.3149
0.9360 0.2212 0.2414
```

=====

Material: Na9W16O48
Method: DFT, meta-GGA SCAN
State: single point on PBEsol structure

Summary:
**Calculated total energy**: -22.158 eV/atom
**V**: 12.4 Å³/atom
**E_form (uncorrected)**: -2267 meV per atom

POSCAR file:
```
Na9W16O48
1.0
5.4319 -3.8373 0.0000
5.4319 3.8373 0.0000
-0.0467 0.0000 21.7198
Na W O
9 16 48
direct
0.0000 0.0000 0.0000
0.2499 0.2499 0.3760
0.2500 0.2500 0.6242
0.2507 0.2507 0.1277
0.2514 0.2514 0.8724
0.7486 0.7486 0.1276
0.7493 0.7493 0.8723
0.7500 0.7500 0.3758
0.7501 0.7501 0.6240
0.0000 0.5000 0.0000
0.0001 0.5003 0.2508
0.0000 0.5000 0.5000
0.9999 0.4997 0.7492
0.2501 0.7501 0.3752
0.2499 0.7499 0.6248
0.2514 0.7493 0.1264
0.2507 0.7486 0.8736
0.5000 0.0000 0.0000
0.5003 0.0001 0.2508
0.5000 0.0000 0.5000
0.4997 0.9999 0.7492
0.7493 0.2514 0.1264
0.7486 0.2507 0.8736
0.7501 0.2501 0.3752
0.7499 0.2499 0.6248
0.0114 0.0114 0.6258
0.0148 0.0148 0.1253
0.1058 0.6283 0.1834
0.1069 0.6275 0.6835
0.1112 0.6509 0.0595
0.1155 0.6408 0.5608
0.1271 0.6076 0.4337
0.1289 0.6051 0.9337
0.1417 0.6155 0.3108
0.1437 0.6140 0.8105
0.2482 0.2482 0.2440
0.2479 0.2479 0.7438
0.2503 0.2503 0.0082
0.2518 0.2518 0.5056
0.3491 0.8888 0.9405
0.3592 0.8845 0.4392
0.3725 0.8931 0.3165
0.3717 0.8942 0.8166
0.3845 0.8583 0.6892
0.3860 0.8563 0.1895
0.3924 0.8729 0.5663
0.3949 0.8711 0.0663
0.4858 0.4858 0.1242
0.4885 0.4885 0.6240
0.5115 0.5115 0.3760
0.5142 0.5142 0.8758
0.6051 0.1289 0.9337
0.6076 0.1271 0.4337
0.6140 0.1437 0.8105
0.6155 0.1417 0.3108
0.6283 0.1058 0.1834
0.6275 0.1069 0.6835
0.6408 0.1155 0.5608
0.6509 0.1112 0.0595
0.7482 0.7482 0.4944
0.7497 0.7497 0.9918
0.7521 0.7521 0.2562
0.7518 0.7518 0.7560
0.8563 0.3860 0.1895
0.8583 0.3845 0.6892
0.8711 0.3949 0.0663
0.8729 0.3924 0.5663
0.8845 0.3592 0.4392
0.8888 0.3491 0.9405
0.8931 0.3725 0.3165
0.8942 0.3717 0.8166
0.9852 0.9852 0.8747
0.9886 0.9886 0.3742
```

=====

Material: Na5W6O18
Method: DFT, meta-GGA SCAN
State: single point on PBEsol structure

Summary:
**Calculated total energy**: -21.263 eV/atom
**V**: 12.0 Å³/atom
**E_form (uncorrected)**: -2250 meV per atom

POSCAR file:
```
Na5W6O18
1.0
3.8670 -5.4706 0.0000
3.8670 5.4706 0.0000
0.0000 0.0000 16.4195
Na W O
10 12 36
direct
0.1231 0.8769 0.5853
0.1231 0.8769 0.9147
0.3731 0.6269 0.0849
0.3731 0.6269 0.4151
0.3750 0.6250 0.7500
0.6250 0.3750 0.2500
0.6269 0.3731 0.5849
0.6269 0.3731 0.9151
0.8769 0.1231 0.0853
0.8769 0.1231 0.4147
0.1240 0.3740 0.5843
0.1240 0.3740 0.9158
0.1250 0.3750 0.2500
0.3740 0.1240 0.0842
0.3740 0.1240 0.4158
0.3750 0.1250 0.7500
0.6250 0.8750 0.2500
0.6260 0.8760 0.5843
0.6260 0.8760 0.9158
0.8750 0.6250 0.7500
0.8760 0.6260 0.0842
0.8760 0.6260 0.4158
0.0000 0.5000 0.0000
0.0000 0.5000 0.5000
0.0011 0.5034 0.6658
0.0011 0.5034 0.8342
0.1251 0.8749 0.0822
0.1251 0.8749 0.4178
0.1273 0.8727 0.7500
0.2496 0.2496 0.0000
0.2496 0.2496 0.5000
0.2511 0.2534 0.1658
0.2511 0.2534 0.3342
0.2534 0.2511 0.6658
0.2534 0.2511 0.8342
0.3751 0.6249 0.5836
0.3751 0.6249 0.9164
0.3773 0.6227 0.2500
0.4966 0.9989 0.6658
0.4966 0.9989 0.8342
0.5000 0.0000 0.0000
0.5000 0.0000 0.5000
0.5034 0.0011 0.1658
0.5034 0.0011 0.3342
0.6227 0.3773 0.7500
0.6249 0.3751 0.0836
0.6249 0.3751 0.4164
0.7466 0.7489 0.1658
0.7466 0.7489 0.3342
0.7489 0.7466 0.6658
0.7489 0.7466 0.8342
0.7504 0.7504 0.0000
0.7504 0.7504 0.5000
0.8727 0.1273 0.2500
0.8749 0.1251 0.5822
0.8749 0.1251 0.9178
0.9989 0.4966 0.1658
0.9989 0.4966 0.3342
```

=====

Material: Na2ZrW3O12
Method: DFT, meta-GGA SCAN
State: single point on PBEsol structure

Summary:
**Calculated total energy**: -20.457 eV/atom
**V**: 13.2 Å³/atom
**E_form (uncorrected)**: -2514 meV per atom

POSCAR file:
```
Na2ZrW3O12
1.0
-2.5137 2.5137 18.7415
2.5137 -2.5137 18.7415
2.5137 2.5137 -18.7415
Na Zr W O
4 2 6 24
direct
0.0000 0.0000 0.0000
0.1902 0.1902 0.0000
0.7500 0.2500 0.5000
0.9402 0.4402 0.5000
0.5866 0.0866 0.5000
0.8366 0.8366 0.0000
0.1119 0.6119 0.5000
0.2684 0.7684 0.5000
0.3619 0.3619 0.0000
0.4189 0.9189 0.5000
0.5184 0.5184 0.0000
0.6689 0.6689 0.0000
0.0196 0.9431 0.3754
0.1007 0.5044 0.9413
0.1069 0.4924 0.1171
0.1318 0.0686 0.4616
0.2099 0.0796 0.3937
0.2211 0.5947 0.0111
0.2424 0.6253 0.8855
0.2544 0.8130 0.9037
0.3447 0.8336 0.8736
0.3753 0.9898 0.8829
0.3942 0.2696 0.5765
0.4203 0.3818 0.5632
0.5630 0.1594 0.0587
0.5662 0.4599 0.6303
0.5677 0.6442 0.6246
0.5836 0.2100 0.9889
0.6070 0.6703 0.5384
0.6859 0.8162 0.6063
0.6931 0.8177 0.4235
0.7398 0.3569 0.1145
0.8186 0.8570 0.4368
0.8296 0.9359 0.3697
0.9094 0.3507 0.0963
0.9600 0.4711 0.1264
```

=====

Material: NaYO2
Method: DFT, meta-GGA SCAN
State: single point on PBEsol structure

Summary:
**Calculated total energy**: -13.980 eV/atom
**V**: 17.3 Å³/atom
**E_form (uncorrected)**: -2850 meV per atom

POSCAR file:
```
NaYO2
1.0
-2.5993 2.5993 5.1280
2.5993 -2.5993 5.1280
2.5993 2.5993 -5.1280
Na Y O
2 2 4
direct
0.0000 0.0000 0.0000
0.7500 0.2500 0.5000
0.2500 0.7500 0.5000
0.5000 0.5000 0.0000
0.1627 0.6250 0.0377
0.3750 0.4127 0.5377
0.5873 0.1250 0.9623
0.8750 0.8373 0.4623
```

=====

Material: NaYO3
Method: DFT, meta-GGA SCAN
State: single point on PBEsol structure

Summary:
**Calculated total energy**: -11.602 eV/atom
**V**: 12.0 Å³/atom
**E_form (uncorrected)**: -1452 meV per atom

POSCAR file:
```
NaYO3
1.0
3.9118 0.0000 0.0000
0.0000 3.9118 0.0000
0.0000 0.0000 3.9118
Na Y O
1 1 3
direct
0.0000 0.0000 0.0000
0.5000 0.5000 0.5000
0.0000 0.0000 0.5000
0.0000 0.5000 0.0000
0.5000 0.0000 0.0000
```

=====

Material: NaZrO2
Method: DFT, meta-GGA SCAN
State: single point on PBEsol structure

Summary:
**Calculated total energy**: -14.318 eV/atom
**V**: 17.2 Å³/atom
**E_form (uncorrected)**: -2474 meV per atom

POSCAR file:
```
NaZrO2
1.0
-2.5489 2.5489 5.3010
2.5489 -2.5489 5.3010
2.5489 2.5489 -5.3010
Na Zr O
2 2 4
direct
0.0000 0.0000 0.0000
0.7500 0.2500 0.5000
0.2500 0.7500 0.5000
0.5000 0.5000 0.0000
0.2156 0.6250 0.0906
0.3750 0.4656 0.5906
0.5344 0.1250 0.9094
0.8750 0.7844 0.4094
```